Record 1
Here is a relaxed structure of BaTh2NbN4 from Alexandria via LeMat-Bulk. Energies are from PBE.

Unit cell a=6.6981 b=6.6981 c=12.6561 alpha=90.00 beta=90.00 gamma=148.22
Positions (direct):
Ba: 0.0711 0.9289 0.7500
Ba: 0.9289 0.0711 0.2500
Th: 0.3690 0.6310 0.5433
Th: 0.3690 0.6310 0.9567
Th: 0.6310 0.3690 0.0433
Th: 0.6310 0.3690 0.4567
Nb: 0.1860 0.8140 0.2500
Nb: 0.8140 0.1860 0.7500
N: 0.0000 0.0000 0.0000
N: 0.0000 0.0000 0.5000
N: 0.2536 0.7464 0.1062
N: 0.2536 0.7464 0.3938
N: 0.3958 0.6042 0.7500
N: 0.6042 0.3958 0.2500
N: 0.7464 0.2536 0.6062
N: 0.7464 0.2536 0.8938

Properties
Spin magnetization: 1.15 Bohr magnetons per cell
Volume: 299 Å³ per cell

=====

Record 2
Here is a relaxed structure of BaTiNb2N from Alexandria via LeMat-Bulk. Energies are from PBE.

Unit cell a=5.0552 b=5.0552 c=4.8679 alpha=90.00 beta=90.00 gamma=90.00
Positions (direct):
Ba: 0.0000 0.0000 0.0000
Ti: 0.0000 0.0000 0.5000
Nb: 0.0000 0.5000 0.0000
Nb: 0.5000 0.0000 0.0000
N: 0.5000 0.5000 0.5000

Properties
Spin magnetization: 0.00 Bohr magnetons per cell
Volume: 124 Å³ per cell

=====

Record 3
Here is a relaxed structure of Ba2NbW2N6 from Alexandria via LeMat-Bulk. Energies are from PBE.

Unit cell a=6.9058 b=6.9058 c=6.9058 alpha=52.56 beta=52.56 gamma=52.56
Positions (direct):
Ba: 0.2231 0.2231 0.2231
Ba: 0.7769 0.7769 0.7769
Nb: 0.0000 0.0000 0.0000
W: 0.4257 0.4257 0.4257
W: 0.5743 0.5743 0.5743
N: 0.2321 0.2321 0.7450
N: 0.2321 0.7450 0.2321
N: 0.2550 0.7679 0.7679
N: 0.7450 0.2321 0.2321
N: 0.7679 0.2550 0.7679
N: 0.7679 0.7679 0.2550

Properties
Spin magnetization: 0.00 Bohr magnetons per cell
Volume: 192 Å³ per cell

=====

Number 1: formation energy without anion corrections -1.125 eV per atom, VASP energy -8.6416 eV per atom. Number 2: formation energy without anion corrections 3.349 eV per atom, VASP energy -4.3070 eV per atom. Number 3: formation energy without anion corrections -0.715 eV per atom, VASP energy -8.8763 eV per atom.